Here is an optimized crystal structure of YV2O4 from the Alexandria database. Energies are from PBE+U.

Values from the calculation:
As for the spin magnetization: 10.001 μB/cell. For the polymorph energy (0 for the lowest one), the calculation gives 164.5 meV per atom.

abc: 6.496 6.496 6.496
angles: 126.71 126.71 78.73
Each line ends with the local moment (μB).
Atoms (fractional coordinates):
1 Y 0.750 0.250 0.500  0.03
2 Y 0.000 0.000 0.000  0.03
3 V 0.875 0.625 0.250  2.23
4 V 0.375 0.625 0.750  2.23
5 V 0.375 0.625 0.250  2.23
6 V 0.375 0.125 0.750  2.23
7 O 0.346 0.999 0.952  0.00
8 O 0.047 0.394 0.048  0.00
9 O 0.404 0.251 0.548  0.00
10 O 0.703 0.856 0.452  0.00
11 O 0.749 0.297 0.154  0.00
12 O 0.144 0.596 0.846  0.00
13 O 0.606 0.654 0.654  0.00
14 O 0.001 0.953 0.346  0.00